A relaxed structure of DyBeOs, computed with PBE.

Output
Final energy: -5.299 eV/atom
Relative energy among the computed polymorphs: 1.0507 eV per atom

Lattice parameters (Å, degrees): 6.314 6.314 6.314 90.00 90.00 90.00
Space group F-43m (No. 216)
Inequivalent atoms, fractional coordinates:
Dy 0.000 0.000 0.000 x4
Be 0.250 0.250 0.750 x4
Os 0.250 0.250 0.250 x4